[1]
! Sc2ReGeW (PBE, relaxed); values from VASP
! Uncorrected energy = -0.2716 Ha/atom
! Magnetization = 0.00 μB/f.u.
! E_form = 1.14 eV per atom
! Space group = P4/mmm
! Density = 7.756 g/cm³
&SYSTEM
  ibrav = 0, nat = 5, ntyp = 4
/
ATOMIC_SPECIES
Re 186.21 Re.upf
Ge 72.64 Ge.upf
Sc 44.96 Sc.upf
W 183.84 W.upf
CELL_PARAMETERS angstrom
4.944 0.000 0.000
0.000 4.665 0.000
0.000 0.000 4.944
ATOMIC_POSITIONS crystal
Re 0.000 0.000 0.000
Ge 0.000 0.500 0.000
Sc 0.000 0.000 0.500
Sc 0.500 0.000 0.000
W 0.500 0.500 0.500

***

[2]
! Re2GeSe (PBE, relaxed); values from VASP
! Uncorrected energy = -0.2626 Ha/atom
! Distance to the lowest polymorph of the same formula = 614 meV per atom
! Magnetization = 0.00 μB/f.u.
! Space group = I-42d
! Density = 10.034 g/cm³
&SYSTEM
  ibrav = 0, nat = 8, ntyp = 3
/
ATOMIC_SPECIES
Re 186.21 Re.upf
Se 78.96 Se.upf
Ge 72.64 Ge.upf
CELL_PARAMETERS angstrom
-4.377 -3.614 0.530
3.186 -4.182 -2.206
1.077 -5.206 4.057
ATOMIC_POSITIONS crystal
Re 0.632 0.125 0.250
Re 0.118 0.625 0.250
Re 0.875 0.882 0.750
Re 0.375 0.368 0.750
Se 0.000 0.000 0.000
Se 0.750 0.250 0.500
Ge 0.500 0.500 0.000
Ge 0.250 0.750 0.500

***

[3]
! ReGeSe2 (PBE, relaxed); values from VASP
! Uncorrected energy = -0.2134 Ha/atom
! Magnetization = 0.00 μB/f.u.
! Space group = R-3m
! Density = 8.404 g/cm³
&SYSTEM
  ibrav = 0, nat = 4, ntyp = 3
/
ATOMIC_SPECIES
Se 78.96 Se.upf
Ge 72.64 Ge.upf
Re 186.21 Re.upf
CELL_PARAMETERS angstrom
-3.216 8.925 0.407
-1.634 8.796 3.180
-0.071 9.483 0.479
ATOMIC_POSITIONS crystal
Se 0.897 0.897 0.897
Se 0.103 0.103 0.103
Ge 0.000 0.000 0.000
Re 0.500 0.500 0.500

***

[4]
! ReGeSe2 (PBE, relaxed); values from VASP
! Uncorrected energy = -0.1928 Ha/atom
! Magnetization = 0.00 μB/f.u.
! Space group = R-3m
! Density = 8.377 g/cm³
&SYSTEM
  ibrav = 0, nat = 4, ntyp = 3
/
ATOMIC_SPECIES
Se 78.96 Se.upf
Ge 72.64 Ge.upf
Re 186.21 Re.upf
CELL_PARAMETERS angstrom
-3.176 -4.962 5.995
-0.984 -3.038 7.775
-4.118 -1.864 7.086
ATOMIC_POSITIONS crystal
Se 0.904 0.904 0.904
Se 0.096 0.096 0.096
Ge 0.500 0.500 0.500
Re 0.000 0.000 0.000

***

[5]
! ReGe3Se (PBE, relaxed); values from VASP
! Uncorrected energy = -0.1594 Ha/atom
! Distance to the lowest polymorph of the same formula = 1309 meV per atom
! Magnetization = 2.73 μB/f.u.
! Space group = Pm-3m
! Density = 6.799 g/cm³
&SYSTEM
  ibrav = 0, nat = 5, ntyp = 3
/
ATOMIC_SPECIES
Ge 72.64 Ge.upf
Re 186.21 Re.upf
Se 78.96 Se.upf
CELL_PARAMETERS angstrom
-4.189 1.761 -1.846
0.076 -3.462 -3.473
-2.550 -2.995 2.930
ATOMIC_POSITIONS crystal
Ge 0.000 0.000 0.500
Ge 0.000 0.500 0.000
Ge 0.500 0.000 0.000
Re 0.500 0.500 0.500
Se 0.000 0.000 0.000

***

[6]
! ReGe2Se8 (PBE, relaxed); values from VASP
! Uncorrected energy = -0.1661 Ha/atom
! Magnetization = 0.00 μB/f.u.
! Space group = C2/m
! Density = 5.462 g/cm³
&SYSTEM
  ibrav = 0, nat = 11, ntyp = 3
/
ATOMIC_SPECIES
Se 78.96 Se.upf
Re 186.21 Re.upf
Ge 72.64 Ge.upf
CELL_PARAMETERS angstrom
5.736 -0.030 -0.026
0.717 7.333 0.713
0.717 1.841 7.134
ATOMIC_POSITIONS crystal
Se 0.294 0.849 0.263
Se 0.294 0.263 0.849
Se 0.212 0.359 0.359
Se 0.835 0.195 0.195
Se 0.165 0.805 0.805
Se 0.706 0.151 0.737
Se 0.788 0.641 0.641
Se 0.706 0.737 0.151
Re 0.000 0.000 0.000
Ge 0.415 0.186 0.186
Ge 0.585 0.814 0.814

***

[7]
! ReGeSe2 (PBE, relaxed); values from VASP
! Uncorrected energy = -0.2033 Ha/atom
! Magnetization = 0.00 μB/f.u.
! Space group = I-42d
! Density = 6.850 g/cm³
&SYSTEM
  ibrav = 0, nat = 8, ntyp = 3
/
ATOMIC_SPECIES
Ge 72.64 Ge.upf
Se 78.96 Se.upf
Re 186.21 Re.upf
CELL_PARAMETERS angstrom
6.182 0.000 0.000
0.000 6.182 0.000
3.091 3.091 5.288
ATOMIC_POSITIONS crystal
Ge 0.500 0.500 0.000
Ge 0.250 0.750 0.500
Se 0.875 0.919 0.750
Se 0.375 0.331 0.750
Se 0.669 0.125 0.250
Se 0.081 0.625 0.250
Re 0.750 0.250 0.500
Re 0.000 0.000 0.000

***

[8]
! Re2GeSe (PBE, relaxed); values from VASP
! Uncorrected energy = -0.2852 Ha/atom
! Distance to the lowest polymorph of the same formula = 0 meV per atom
! Magnetization = 0.00 μB/f.u.
! Space group = Fm-3m
! Density = 14.578 g/cm³
&SYSTEM
  ibrav = 0, nat = 4, ntyp = 3
/
ATOMIC_SPECIES
Re 186.21 Re.upf
Se 78.96 Se.upf
Ge 72.64 Ge.upf
CELL_PARAMETERS angstrom
0.000 3.102 3.102
3.102 0.000 3.102
3.102 3.102 0.000
ATOMIC_POSITIONS crystal
Re 0.250 0.250 0.250
Re 0.750 0.750 0.750
Se 0.500 0.500 0.500
Ge 0.000 0.000 0.000

***

[9]
! ReGe3Se (PBE, relaxed); values from VASP
! Uncorrected energy = -0.2075 Ha/atom
! Distance to the lowest polymorph of the same formula = 0 meV per atom
! Magnetization = 0.71 μB/f.u.
! Space group = Pm-3m
! Density = 7.024 g/cm³
&SYSTEM
  ibrav = 0, nat = 5, ntyp = 3
/
ATOMIC_SPECIES
Ge 72.64 Ge.upf
Re 186.21 Re.upf
Se 78.96 Se.upf
CELL_PARAMETERS angstrom
4.852 0.000 0.000
0.000 4.852 0.000
0.000 0.000 4.852
ATOMIC_POSITIONS crystal
Ge 0.500 0.000 0.000
Ge 0.000 0.000 0.500
Ge 0.000 0.500 0.000
Re 0.000 0.000 0.000
Se 0.500 0.500 0.500

***

[10]
! Tl2ReGeSe (PBE, relaxed); values from VASP
! Uncorrected energy = -0.1646 Ha/atom
! Magnetization = 1.38 μB/f.u.
! Space group = P4/mmm
! Density = 8.836 g/cm³
&SYSTEM
  ibrav = 0, nat = 5, ntyp = 4
/
ATOMIC_SPECIES
Se 78.96 Se.upf
Tl 204.38 Tl.upf
Re 186.21 Re.upf
Ge 72.64 Ge.upf
CELL_PARAMETERS angstrom
5.432 0.000 0.000
0.000 4.756 0.000
0.000 0.000 5.432
ATOMIC_POSITIONS crystal
Se 0.500 0.500 0.500
Tl 0.500 0.000 0.000
Tl 0.000 0.000 0.500
Re 0.000 0.000 0.000
Ge 0.000 0.500 0.000

***

[11]
! ReGeWSe2 (PBE, relaxed); values from VASP
! Uncorrected energy = -0.1966 Ha/atom
! Magnetization = 0.61 μB/f.u.
! Space group = P4/mmm
! Density = 9.507 g/cm³
&SYSTEM
  ibrav = 0, nat = 5, ntyp = 4
/
ATOMIC_SPECIES
Se 78.96 Se.upf
W 183.84 W.upf
Re 186.21 Re.upf
Ge 72.64 Ge.upf
CELL_PARAMETERS angstrom
4.724 0.000 0.000
0.000 4.701 0.000
0.000 0.000 4.724
ATOMIC_POSITIONS crystal
Se 0.500 0.000 0.000
Se 0.000 0.000 0.500
W 0.500 0.500 0.500
Re 0.000 0.500 0.000
Ge 0.000 0.000 0.000

***

[12]
! Re2GeWSe (PBE, relaxed); values from VASP
! Uncorrected energy = -0.2645 Ha/atom
! Magnetization = 0.00 μB/f.u.
! Space group = P4/mmm
! Density = 12.002 g/cm³
&SYSTEM
  ibrav = 0, nat = 5, ntyp = 4
/
ATOMIC_SPECIES
W 183.84 W.upf
Re 186.21 Re.upf
Se 78.96 Se.upf
Ge 72.64 Ge.upf
CELL_PARAMETERS angstrom
4.588 0.000 0.000
0.000 4.653 0.000
0.000 0.000 4.588
ATOMIC_POSITIONS crystal
W 0.000 0.500 0.000
Re 0.500 0.000 0.000
Re 0.000 0.000 0.500
Se 0.500 0.500 0.500
Ge 0.000 0.000 0.000